SrSiTe2O8 | GGA-PBE | optimized geometry

The calculation puts the volume at 165 Å³/f.u. As for the space group: No. 12. For the formation energy without anion corrections, the calculation gives -1.48 eV/atom.

Geometry as extended XYZ:
```
12
Lattice="4.919 -2.508 0.000 4.919 2.508 0.000 -2.933 0.000 6.673" Properties=species:S:1:pos:R:3 pbc="T T T"
Sr 0.000 0.000 0.000
Si 3.453 0.000 3.337
Te -0.094 0.000 4.289
Te 7.000 0.000 2.384
O 3.637 1.253 2.086
O 3.269 1.253 4.588
O 1.677 0.000 2.889
O 0.667 0.000 5.963
O 6.239 0.000 0.710
O 5.229 0.000 3.784
O 3.637 -1.253 2.086
O 3.269 -1.253 4.588
```



Sr4Ti5Si4O22 | GGA-PBE | optimized geometry

The calculation puts the volume at 439 Å³/f.u. As for the space group: No. 12. For the formation energy without anion corrections, the calculation gives -3.03 eV/atom.

Geometry as extended XYZ:
```
35
Lattice="7.077 -2.840 0.000 7.077 2.840 0.000 -4.961 0.000 10.921" Properties=species:S:1:pos:R:3 pbc="T T T"
Sr -0.537 0.000 2.630
Sr -0.483 0.000 8.381
Sr 9.676 0.000 2.540
Sr 9.730 0.000 8.291
Ti 4.597 1.463 5.461
Ti 1.405 0.000 5.472
Ti 7.077 0.000 0.000
Ti 7.788 0.000 5.449
Ti 4.597 -1.463 5.461
Si 1.985 0.000 0.511
Si 4.594 0.000 2.501
Si 4.599 0.000 8.421
Si 7.208 0.000 10.411
O 1.061 1.419 6.749
O -1.180 0.000 5.449
O 1.033 1.480 10.020
O -2.455 0.000 9.931
O 4.597 1.333 3.469
O 3.168 0.000 1.689
O 4.597 1.333 7.453
O 8.161 1.480 0.901
O 3.256 0.000 5.461
O 8.133 1.419 4.173
O 5.922 0.000 1.552
O 3.271 0.000 9.369
O 1.061 -1.419 6.749
O 5.938 0.000 5.461
O 1.033 -1.480 10.020
O 4.597 -1.333 3.469
O 6.025 0.000 9.233
O 4.597 -1.333 7.453
O 11.648 0.000 0.991
O 8.161 -1.480 0.901
O 10.374 0.000 5.472
O 8.133 -1.419 4.173
```



SrUSiO6 | GGA-PBE | optimized geometry

The calculation puts the volume at 128 Å³/f.u. As for the space group: No. 149. For the formation energy without anion corrections, the calculation gives -2.91 eV/atom.

Geometry as extended XYZ:
```
9
Lattice="5.252 0.000 0.000 -2.626 4.549 0.000 0.000 0.000 5.376" Properties=species:S:1:pos:R:3 pbc="T T T"
Sr 0.000 0.000 0.000
U 0.000 3.032 2.688
Si 2.626 1.516 2.688
O 1.959 0.176 3.730
O 1.132 1.609 1.646
O 3.293 0.176 1.646
O 1.799 2.764 3.730
O 4.120 1.609 3.730
O 3.453 2.764 1.646
```



It is found that the magnetization values, taken in the order of the records, are 0.00 0.00 0.00 μB per cell.
It is found that the raw total energy values, taken in the order of the records, are -5.90 -8.09 -8.25 eV per atom.